Entry from Alexandria via LeMat-Bulk: crystalline TaMo2W at its relaxed geometry (PBEsol).

Values from the calculation:
- energy above the lowest structure with this stoichiometry (eV per atom) = 0.037
- ΔH_f (0 K) (eV/atom) = -0.10
- crystal system = orthorhombic
- DOS(E_F) (states/eV/f.u.) = 1.7

Cell lengths 5.2450, 5.2450, 5.2450 Å; angles 144.87, 129.29, 63.19 degrees
Fractional positions:
Ta  0.0000  0.0000  0.0000
Mo  0.2527  0.7527  0.5000
Mo  0.7473  0.2473  0.5000
W  0.5000  0.5000  0.0000